Material: Na2Li4Ni2C4SO16
Method: DFT, PBE+U
State: optimized geometry

Computed properties:
E (eV for the cell shown): -365.80

a = 9.5468 Å, b = 9.5468 Å, c = 9.5357 Å
α = 117.87°, β = 117.87°, γ = 93.79°
Site moments in Bohr magnetons follow the coordinates.
Sites, in units of the cell vectors:
Na (0.7241, 0.7241, 0.4481)  0.00
Na (0.5259, 0.0259, 0.0519)  0.00
Na (0.2759, 0.2759, 0.5519)  0.00
Na (0.9741, 0.4741, 0.9481)  0.00
O (0.0436, 0.2502, 0.9542)  0.03
O (0.4751, 0.6678, 0.6978)  0.03
O (0.6825, 0.0592, 0.3739)  0.00
O (0.6913, 0.3146, 0.3739)  0.00
O (0.7749, 0.0822, 0.8022)  0.03
O (0.0168, 0.0601, 0.2992)  0.02
O (0.3394, 0.0460, 0.5458)  0.03
O (0.2824, 0.2391, 0.2992)  0.02
O (0.5646, 0.4413, 0.8739)  0.00
O (0.7498, 0.9564, 0.0458)  0.03
O (0.5002, 0.7936, 0.4542)  0.03
O (0.3092, 0.4325, 0.8739)  0.00
O (0.9676, 0.5109, 0.2008)  0.02
O (0.9408, 0.3175, 0.6261)  0.00
O (0.2332, 0.6899, 0.2008)  0.02
O (0.2960, 0.0894, 0.0458)  0.03
O (0.2800, 0.9727, 0.1978)  0.03
O (0.9399, 0.9832, 0.7008)  0.02
O (0.9700, 0.7773, 0.3022)  0.03
O (0.9540, 0.6606, 0.4542)  0.03
O (0.7609, 0.7176, 0.7008)  0.02
O (0.3101, 0.7668, 0.7992)  0.02
O (0.0273, 0.7200, 0.8022)  0.03
O (0.2064, 0.4998, 0.5458)  0.03
O (0.9178, 0.2251, 0.1978)  0.03
O (0.5587, 0.4354, 0.1261)  0.00
O (0.6854, 0.3087, 0.6261)  0.00
O (0.5675, 0.6908, 0.1261)  0.00
O (0.2227, 0.0300, 0.6978)  0.03
O (0.3322, 0.5249, 0.3022)  0.03
O (0.4891, 0.0324, 0.7992)  0.02
O (0.9106, 0.7040, 0.9542)  0.03
C (0.2829, 0.0984, 0.1799)  0.01
C (0.3315, 0.6470, 0.6799)  0.01
C (0.8970, 0.0815, 0.1799)  0.01
C (0.9671, 0.6516, 0.3201)  0.01
C (0.9016, 0.7171, 0.8201)  0.01
C (0.3530, 0.6685, 0.3201)  0.01
C (0.3484, 0.0329, 0.6799)  0.01
C (0.9185, 0.1030, 0.8201)  0.01
Li (0.7924, 0.8727, 0.2248)  0.00
Li (0.4324, 0.3521, 0.2248)  0.00
Li (0.8176, 0.3979, 0.2752)  0.00
Li (0.6479, 0.5676, 0.7752)  0.00
Li (0.6021, 0.1824, 0.7248)  0.00
Li (0.4576, 0.8773, 0.2752)  0.00
Li (0.1227, 0.5424, 0.7248)  0.00
Li (0.1273, 0.2076, 0.7752)  0.00
Ni (0.1250, 0.8750, 0.2500)  1.79
Ni (0.6250, 0.8750, 0.7500)  1.79
Ni (0.1250, 0.8750, 0.7500)  1.79
Ni (0.1250, 0.3750, 0.2500)  1.79
S (0.5000, 0.5000, 0.0000)  0.00
S (0.7500, 0.2500, 0.5000)  0.00